Density functional theory data (PBE with a Hubbard U) for a relaxed structure of TaFeCF2.

a = 4.057 Å, b = 4.057 Å, c = 4.229 Å
α = 90.00°, β = 90.00°, γ = 90.00°
Sites, in units of the cell vectors:
Ta1 0.000 0.000 0.000
Fe1 0.500 0.500 0.500
C1 0.000 0.000 0.500
F1 0.000 0.500 0.000
F2 0.500 0.000 0.000

Output
final energy = -6.546 eV/atom